(1)
AlGaIr2: optimized geometry, GGA-PBEsol.

Lattice parameters (Å, degrees): 4.249 4.249 4.249 60.00 60.00 60.00
Positions (direct):
Ir  0.250  0.250  0.250
Al  0.000  0.000  0.000
Ir  0.750  0.750  0.750
Ga  0.500  0.500  0.500

Summary:
Its total energy is -7.435 eV/atom. The density of states at the Fermi level is 0.9 states/eV/cell. The calculation puts the formation energy at -665 meV/atom. The space group is Fm-3m, No. 225.



(2)
AlGaIr3: optimized geometry, GGA-PBEsol.

Lattice parameters (Å, degrees): 4.451 4.451 4.451 90.00 90.00 90.00
Positions (direct):
Ga  0.000  0.000  0.000
Ir  0.500  0.000  0.000
Al  0.500  0.500  0.500
Ir  0.000  0.000  0.500
Ir  0.000  0.500  0.000

Summary:
Its total energy is -6.315 eV/atom. The density of states at the Fermi level is 3.2 states/eV/cell. The calculation puts the formation energy at 1065 meV/atom. The space group is Pm-3m, No. 221.



(3)
KAl2Ga2: optimized geometry, GGA-PBEsol.

Lattice parameters (Å, degrees): 4.347 4.347 6.517 109.48 109.48 90.00
Positions (direct):
Al  0.383  0.383  0.767
Ga  0.750  0.250  0.500
Al  0.617  0.617  0.233
Ga  0.250  0.750  0.500
K  0.000  0.000  0.000

Summary:
Its total energy is -3.225 eV/atom. The density of states at the Fermi level is 1.9 states/eV/cell. The calculation puts the formation energy at -26 meV/atom. The space group is I4/mmm, No. 139.



What is the formula in the second record? AlGaIr3



Which of these has the lowest density of states at the Fermi level? AlGaIr2



The highest density of states at the Fermi level belongs to which entry? AlGaIr3